! KInBr2, single point on PBEsol structure, DFT SCAN; values from VASP
&SYSTEM
  ibrav = 0, nat = 4, ntyp = 3
/
ATOMIC_SPECIES
K 39.10 K.upf
In 114.82 In.upf
Br 79.90 Br.upf
ATOMIC_POSITIONS angstrom
K 0.000 0.000 0.000
In 0.000 0.000 11.365
Br 0.000 0.000 5.693
Br 0.000 0.000 17.037
CELL_PARAMETERS angstrom
2.302 1.329 7.576
-2.302 1.329 7.576
0.000 -2.658 7.576
! ΔE_f (raw) = -1291 meV per atom
! Raw total energy = -85.80 eV per cell
! E above lowest polymorph = 13 meV per atom

=====

! KInBr2, single point on PBEsol structure, DFT SCAN; values from VASP
&SYSTEM
  ibrav = 0, nat = 4, ntyp = 3
/
ATOMIC_SPECIES
K 39.10 K.upf
In 114.82 In.upf
Br 79.90 Br.upf
ATOMIC_POSITIONS angstrom
K 0.000 0.000 0.000
In 2.752 2.752 0.000
Br 0.000 2.752 1.943
Br 2.752 0.000 1.943
CELL_PARAMETERS angstrom
5.504 0.000 0.000
0.000 5.504 0.000
0.000 0.000 3.886
! ΔE_f (raw) = -1275 meV per atom
! Raw total energy = -85.73 eV per cell
! E above lowest polymorph = 29 meV per atom

=====

! KInBr2, single point on PBEsol structure, DFT SCAN; values from VASP
&SYSTEM
  ibrav = 0, nat = 4, ntyp = 3
/
ATOMIC_SPECIES
K 39.10 K.upf
In 114.82 In.upf
Br 79.90 Br.upf
ATOMIC_POSITIONS angstrom
K 0.000 0.000 0.000
In 9.446 0.000 2.450
Br 3.282 0.000 4.897
Br 6.556 0.000 2.452
CELL_PARAMETERS angstrom
6.126 -2.126 0.000
6.126 2.126 0.000
-0.001 0.000 4.904
! ΔE_f (raw) = -1304 meV per atom
! Raw total energy = -85.85 eV per cell
! E above lowest polymorph = 0 meV per atom

=====

! K3InBr6, single point on PBEsol structure, DFT SCAN; values from VASP
&SYSTEM
  ibrav = 0, nat = 10, ntyp = 3
/
ATOMIC_SPECIES
K 39.10 K.upf
In 114.82 In.upf
Br 79.90 Br.upf
ATOMIC_POSITIONS angstrom
K 0.000 0.000 0.000
K 2.840 2.840 2.840
K 8.519 8.519 8.519
In 5.680 5.680 5.680
Br 5.680 5.680 3.025
Br 5.680 3.025 5.680
Br 8.334 5.680 5.680
Br 3.025 5.680 5.680
Br 5.680 8.334 5.680
Br 5.680 5.680 8.334
CELL_PARAMETERS angstrom
0.000 5.680 5.680
5.680 0.000 5.680
5.680 5.680 0.000
! ΔE_f (raw) = -1478 meV per atom
! Raw total energy = -189.91 eV per cell

=====

! K2NaInBr6, single point on PBEsol structure, DFT SCAN; values from VASP
&SYSTEM
  ibrav = 0, nat = 10, ntyp = 4
/
ATOMIC_SPECIES
K 39.10 K.upf
Na 22.99 Na.upf
In 114.82 In.upf
Br 79.90 Br.upf
ATOMIC_POSITIONS angstrom
K 2.735 2.735 2.735
K 8.206 8.206 8.206
Na 0.000 0.000 0.000
In 5.471 5.471 5.471
Br 5.471 5.471 2.816
Br 5.471 2.816 5.471
Br 8.125 5.471 5.471
Br 2.816 5.471 5.471
Br 5.471 8.125 5.471
Br 5.471 5.471 8.125
CELL_PARAMETERS angstrom
0.000 5.471 5.471
5.471 0.000 5.471
5.471 5.471 0.000
! ΔE_f (raw) = -1472 meV per atom
! Raw total energy = -185.73 eV per cell

=====

! LaInBr4, single point on PBEsol structure, DFT SCAN; values from VASP
&SYSTEM
  ibrav = 0, nat = 6, ntyp = 3
/
ATOMIC_SPECIES
La 138.91 La.upf
In 114.82 In.upf
Br 79.90 Br.upf
ATOMIC_POSITIONS angstrom
La 0.000 0.000 0.000
In 2.198 2.198 2.198
Br 5.498 3.294 3.294
Br 3.294 5.498 3.294
Br 3.294 3.294 5.498
Br 5.498 5.498 5.498
CELL_PARAMETERS angstrom
0.000 4.396 4.396
4.396 0.000 4.396
4.396 4.396 0.000
! ΔE_f (raw) = -415 meV per atom
! Raw total energy = -156.82 eV per cell

=====

! LaInBr, single point on PBEsol structure, DFT SCAN; values from VASP
&SYSTEM
  ibrav = 0, nat = 3, ntyp = 3
/
ATOMIC_SPECIES
La 138.91 La.upf
In 114.82 In.upf
Br 79.90 Br.upf
ATOMIC_POSITIONS angstrom
La 0.000 0.000 0.000
In 5.538 5.538 5.538
Br 3.692 3.692 3.692
CELL_PARAMETERS angstrom
0.000 3.692 3.692
3.692 0.000 3.692
3.692 3.692 0.000
! ΔE_f (raw) = -262 meV per atom
! Raw total energy = -96.74 eV per cell

=====

! La5In3Br, single point on PBEsol structure, DFT SCAN; values from VASP
&SYSTEM
  ibrav = 0, nat = 18, ntyp = 3
/
ATOMIC_SPECIES
La 138.91 La.upf
In 114.82 In.upf
Br 79.90 Br.upf
ATOMIC_POSITIONS angstrom
La -1.285 2.225 1.677
La -3.548 6.145 5.031
La 2.569 0.000 1.677
La 1.285 2.225 5.031
La 0.000 5.580 0.000
La 0.000 5.580 3.354
La 4.832 2.790 0.000
La 4.832 2.790 3.354
La 7.096 0.000 5.031
La 3.548 6.145 1.677
In -1.879 3.255 5.031
In -2.953 5.115 1.677
In 3.758 0.000 5.031
In 1.879 3.255 1.677
In 5.907 0.000 1.677
In 2.953 5.115 5.031
Br 0.000 0.000 0.000
Br 0.000 0.000 3.354
CELL_PARAMETERS angstrom
9.665 0.000 0.000
-4.832 8.370 0.000
0.000 0.000 6.708
! ΔE_f (raw) = -859 meV per atom
! Raw total energy = -685.76 eV per cell

=====

Number 1: calculated volume 34.8 Å³/atom. Number 2: calculated volume 29.4 Å³/atom. Number 3: calculated volume 31.9 Å³/atom. Number 4: calculated volume 36.6 Å³/atom. Number 5: calculated volume 32.7 Å³/atom. Number 6: calculated volume 28.3 Å³/atom. Number 7: calculated volume 33.5 Å³/atom. Number 8: calculated volume 30.1 Å³/atom.